Record 1
# CeTe4 | Alexandria | GGA-PBE | relaxed
# Total energy = -3.736 eV/atom
# Calculated density = 5.1 g/cm3
# DOS at the Fermi energy = 7.23 states/eV/cell
data_CeTe4
_space_group_name_H-M_alt 'P 1'
_space_group_IT_number 1
_cell_length_a 5.960
_cell_length_b 5.960
_cell_length_c 5.960
_cell_angle_alpha 90.00
_cell_angle_beta 90.00
_cell_angle_gamma 90.00
loop_
_space_group_symop_operation_xyz
'x,y,z'
loop_
_atom_site_label
_atom_site_type_symbol
_atom_site_fract_x
_atom_site_fract_y
_atom_site_fract_z
Ce1 Ce 0.000 0.000 0.000
Te1 Te 0.000 0.000 0.500
Te2 Te 0.000 0.500 0.000
Te3 Te 0.500 0.000 0.000
Te4 Te 0.500 0.500 0.500

Record 2
# Ce5Te6 | Alexandria | GGA-PBE | relaxed
# Total energy = -5.785 eV/atom
# Calculated density = 6.4 g/cm3
# DOS at the Fermi energy = 35.20 states/eV/cell
data_Ce5Te6
_space_group_name_H-M_alt 'P 1'
_space_group_IT_number 1
_cell_length_a 7.770
_cell_length_b 7.770
_cell_length_c 7.742
_cell_angle_alpha 99.67
_cell_angle_beta 99.67
_cell_angle_gamma 120.21
loop_
_space_group_symop_operation_xyz
'x,y,z'
loop_
_atom_site_label
_atom_site_type_symbol
_atom_site_fract_x
_atom_site_fract_y
_atom_site_fract_z
Ce1 Ce 0.000 0.000 0.000
Ce2 Ce 0.166 0.834 0.500
Ce3 Ce 0.331 0.669 0.000
Ce4 Ce 0.669 0.331 0.000
Ce5 Ce 0.834 0.166 0.500
Te1 Te 0.093 0.419 0.257
Te2 Te 0.256 0.256 0.747
Te3 Te 0.419 0.093 0.257
Te4 Te 0.581 0.907 0.743
Te5 Te 0.744 0.744 0.253
Te6 Te 0.907 0.581 0.743

Record 3
# CeTe2 | Alexandria | GGA-PBE | relaxed
# Total energy = -5.285 eV/atom
# Calculated density = 7.1 g/cm3
# DOS at the Fermi energy = 14.39 states/eV/cell
data_CeTe2
_space_group_name_H-M_alt 'P 1'
_space_group_IT_number 1
_cell_length_a 4.515
_cell_length_b 4.515
_cell_length_c 9.059
_cell_angle_alpha 90.00
_cell_angle_beta 90.00
_cell_angle_gamma 90.00
loop_
_space_group_symop_operation_xyz
'x,y,z'
loop_
_atom_site_label
_atom_site_type_symbol
_atom_site_fract_x
_atom_site_fract_y
_atom_site_fract_z
Ce1 Ce 0.250 0.250 0.229
Ce2 Ce 0.750 0.750 0.771
Te1 Te 0.250 0.250 0.866
Te2 Te 0.250 0.750 0.500
Te3 Te 0.750 0.250 0.500
Te4 Te 0.750 0.750 0.134

Record 4
# Ce4Te | Alexandria | GGA-PBE | relaxed
# Total energy = -5.219 eV/atom
# Calculated density = 5.7 g/cm3
# DOS at the Fermi energy = 28.77 states/eV/cell
data_Ce4Te
_space_group_name_H-M_alt 'P 1'
_space_group_IT_number 1
_cell_length_a 5.859
_cell_length_b 5.859
_cell_length_c 5.859
_cell_angle_alpha 90.00
_cell_angle_beta 90.00
_cell_angle_gamma 90.00
loop_
_space_group_symop_operation_xyz
'x,y,z'
loop_
_atom_site_label
_atom_site_type_symbol
_atom_site_fract_x
_atom_site_fract_y
_atom_site_fract_z
Ce1 Ce 0.000 0.000 0.000
Ce2 Ce 0.000 0.500 0.500
Ce3 Ce 0.500 0.000 0.500
Ce4 Ce 0.500 0.500 0.000
Te1 Te 0.500 0.500 0.500

Record 5
# CeThTe6 | Alexandria | GGA-PBE | relaxed
# Total energy = -4.992 eV/atom
# Calculated density = 7.1 g/cm3
# DOS at the Fermi energy = 8.19 states/eV/cell
data_CeThTe6
_space_group_name_H-M_alt 'P 1'
_space_group_IT_number 1
_cell_length_a 4.471
_cell_length_b 13.417
_cell_length_c 13.417
_cell_angle_alpha 19.18
_cell_angle_beta 90.00
_cell_angle_gamma 90.00
loop_
_space_group_symop_operation_xyz
'x,y,z'
loop_
_atom_site_label
_atom_site_type_symbol
_atom_site_fract_x
_atom_site_fract_y
_atom_site_fract_z
Ce1 Ce 0.000 0.000 0.000
Th1 Th 0.500 0.338 0.338
Te1 Te 0.000 0.248 0.248
Te2 Te 0.000 0.590 0.590
Te3 Te 0.000 0.875 0.875
Te4 Te 0.500 0.090 0.090
Te5 Te 0.500 0.462 0.462
Te6 Te 0.500 0.748 0.748

Record 6
# Ce5ThTe6 | Alexandria | GGA-PBE | relaxed
# Total energy = -5.967 eV/atom
# Calculated density = 7.4 g/cm3
# DOS at the Fermi energy = 37.51 states/eV/cell
data_Ce5ThTe6
_space_group_name_H-M_alt 'P 1'
_space_group_IT_number 1
_cell_length_a 7.789
_cell_length_b 7.789
_cell_length_c 7.733
_cell_angle_alpha 99.70
_cell_angle_beta 99.70
_cell_angle_gamma 120.26
loop_
_space_group_symop_operation_xyz
'x,y,z'
loop_
_atom_site_label
_atom_site_type_symbol
_atom_site_fract_x
_atom_site_fract_y
_atom_site_fract_z
Ce1 Ce 0.000 0.000 0.000
Ce2 Ce 0.167 0.833 0.500
Ce3 Ce 0.333 0.667 0.000
Ce4 Ce 0.667 0.333 0.000
Ce5 Ce 0.833 0.167 0.500
Th1 Th 0.500 0.500 0.500
Te1 Te 0.083 0.417 0.250
Te2 Te 0.250 0.250 0.751
Te3 Te 0.417 0.083 0.250
Te4 Te 0.583 0.917 0.750
Te5 Te 0.750 0.750 0.249
Te6 Te 0.917 0.583 0.750

Record 7
# CeTh4Te5 | Alexandria | GGA-PBE | relaxed
# Total energy = -6.248 eV/atom
# Calculated density = 9.9 g/cm3
# DOS at the Fermi energy = 12.27 states/eV/cell
data_CeTh4Te5
_space_group_name_H-M_alt 'P 1'
_space_group_IT_number 1
_cell_length_a 3.858
_cell_length_b 3.858
_cell_length_c 19.261
_cell_angle_alpha 90.00
_cell_angle_beta 90.00
_cell_angle_gamma 90.00
loop_
_space_group_symop_operation_xyz
'x,y,z'
loop_
_atom_site_label
_atom_site_type_symbol
_atom_site_fract_x
_atom_site_fract_y
_atom_site_fract_z
Ce1 Ce 0.000 0.000 0.000
Th1 Th 0.000 0.000 0.200
Th2 Th 0.000 0.000 0.400
Th3 Th 0.000 0.000 0.600
Th4 Th 0.000 0.000 0.800
Te1 Te 0.500 0.500 0.102
Te2 Te 0.500 0.500 0.300
Te3 Te 0.500 0.500 0.500
Te4 Te 0.500 0.500 0.700
Te5 Te 0.500 0.500 0.898

Record 8
# CeTh2Te4 | Alexandria | GGA-PBE | relaxed
# Total energy = -5.953 eV/atom
# Polymorph energy (0 for the lowest one) = 0.000 eV/atom
# Calculated density = 8.7 g/cm3
# DOS at the Fermi energy = 22.92 states/eV/cell
data_CeTh2Te4
_space_group_name_H-M_alt 'P 1'
_space_group_IT_number 1
_cell_length_a 8.191
_cell_length_b 8.191
_cell_length_c 8.191
_cell_angle_alpha 109.65
_cell_angle_beta 109.65
_cell_angle_gamma 109.12
loop_
_space_group_symop_operation_xyz
'x,y,z'
loop_
_atom_site_label
_atom_site_type_symbol
_atom_site_fract_x
_atom_site_fract_y
_atom_site_fract_z
Ce1 Ce 0.000 0.000 0.000
Ce2 Ce 0.750 0.250 0.500
Th1 Th 0.256 0.125 0.631
Th2 Th 0.375 0.744 0.869
Th3 Th 0.494 0.625 0.369
Th4 Th 0.875 0.506 0.131
Te1 Te 0.124 0.376 0.904
Te2 Te 0.126 0.374 0.404
Te3 Te 0.278 0.874 0.247
Te4 Te 0.472 0.219 0.096
Te5 Te 0.624 0.528 0.747
Te6 Te 0.626 0.031 0.753
Te7 Te 0.781 0.876 0.253
Te8 Te 0.969 0.722 0.596

Record 9
# Ce4Th3Te8 | Alexandria | GGA-PBE | relaxed
# Total energy = -5.992 eV/atom
# Calculated density = 7.6 g/cm3
# DOS at the Fermi energy = 31.86 states/eV/cell
data_Ce4Th3Te8
_space_group_name_H-M_alt 'P 1'
_space_group_IT_number 1
_cell_length_a 8.904
_cell_length_b 8.904
_cell_length_c 8.907
_cell_angle_alpha 119.93
_cell_angle_beta 119.93
_cell_angle_gamma 90.09
loop_
_space_group_symop_operation_xyz
'x,y,z'
loop_
_atom_site_label
_atom_site_type_symbol
_atom_site_fract_x
_atom_site_fract_y
_atom_site_fract_z
Ce1 Ce 0.000 0.000 0.000
Ce2 Ce 0.000 0.500 0.000
Ce3 Ce 0.500 0.000 0.000
Ce4 Ce 0.500 0.500 0.500
Th1 Th 0.000 0.500 0.500
Th2 Th 0.500 0.000 0.500
Th3 Th 0.500 0.500 0.000
Te1 Te 0.240 0.240 0.500
Te2 Te 0.242 0.242 0.985
Te3 Te 0.242 0.758 0.500
Te4 Te 0.249 0.751 0.000
Te5 Te 0.751 0.249 0.000
Te6 Te 0.758 0.242 0.500
Te7 Te 0.758 0.758 0.015
Te8 Te 0.760 0.760 0.500

Record 10
# Ce2Th2Te5 | Alexandria | GGA-PBE | relaxed
# Total energy = -5.897 eV/atom
# Calculated density = 8.3 g/cm3
# DOS at the Fermi energy = 35.40 states/eV/cell
data_Ce2Th2Te5
_space_group_name_H-M_alt 'P 1'
_space_group_IT_number 1
_cell_length_a 9.018
_cell_length_b 9.018
_cell_length_c 8.331
_cell_angle_alpha 90.00
_cell_angle_beta 90.00
_cell_angle_gamma 55.14
loop_
_space_group_symop_operation_xyz
'x,y,z'
loop_
_atom_site_label
_atom_site_type_symbol
_atom_site_fract_x
_atom_site_fract_y
_atom_site_fract_z
Ce1 Ce 0.145 0.855 0.850
Ce2 Ce 0.355 0.645 0.350
Ce3 Ce 0.645 0.355 0.650
Ce4 Ce 0.855 0.145 0.150
Th1 Th 0.196 0.196 0.500
Th2 Th 0.304 0.304 0.000
Th3 Th 0.696 0.696 0.000
Th4 Th 0.804 0.804 0.500
Te1 Te 0.000 0.000 0.500
Te2 Te 0.021 0.697 0.157
Te3 Te 0.197 0.521 0.657
Te4 Te 0.303 0.979 0.157
Te5 Te 0.479 0.803 0.657
Te6 Te 0.500 0.500 0.000
Te7 Te 0.521 0.197 0.343
Te8 Te 0.697 0.021 0.843
Te9 Te 0.803 0.479 0.343
Te10 Te 0.979 0.303 0.843

Record 11
# CeThTe3 | Alexandria | GGA-PBE | relaxed
# Total energy = -5.852 eV/atom
# Polymorph energy (0 for the lowest one) = 0.000 eV/atom
# Calculated density = 7.7 g/cm3
# DOS at the Fermi energy = 28.82 states/eV/cell
data_CeThTe3
_space_group_name_H-M_alt 'P 1'
_space_group_IT_number 1
_cell_length_a 8.509
_cell_length_b 4.384
_cell_length_c 17.483
_cell_angle_alpha 90.00
_cell_angle_beta 90.00
_cell_angle_gamma 90.00
loop_
_space_group_symop_operation_xyz
'x,y,z'
loop_
_atom_site_label
_atom_site_type_symbol
_atom_site_fract_x
_atom_site_fract_y
_atom_site_fract_z
Ce1 Ce 0.096 0.250 0.205
Ce2 Ce 0.404 0.750 0.705
Ce3 Ce 0.596 0.250 0.295
Ce4 Ce 0.904 0.750 0.795
Th1 Th 0.240 0.750 0.457
Th2 Th 0.260 0.250 0.957
Th3 Th 0.740 0.750 0.043
Th4 Th 0.760 0.250 0.543
Te1 Te 0.003 0.750 0.604
Te2 Te 0.117 0.750 0.070
Te3 Te 0.179 0.250 0.779
Te4 Te 0.321 0.750 0.279
Te5 Te 0.383 0.250 0.570
Te6 Te 0.497 0.250 0.104
Te7 Te 0.503 0.750 0.896
Te8 Te 0.617 0.750 0.430
Te9 Te 0.679 0.250 0.721
Te10 Te 0.821 0.750 0.221
Te11 Te 0.883 0.250 0.930
Te12 Te 0.997 0.250 0.396

Record 12
# Ce5Th3Te12 | Alexandria | GGA-PBE | relaxed
# Total energy = -5.453 eV/atom
# Calculated density = 6.2 g/cm3
# DOS at the Fermi energy = 176.47 states/eV/cell
data_Ce5Th3Te12
_space_group_name_H-M_alt 'P 1'
_space_group_IT_number 1
_cell_length_a 15.996
_cell_length_b 15.996
_cell_length_c 15.996
_cell_angle_alpha 109.47
_cell_angle_beta 109.47
_cell_angle_gamma 109.47
loop_
_space_group_symop_operation_xyz
'x,y,z'
loop_
_atom_site_label
_atom_site_type_symbol
_atom_site_fract_x
_atom_site_fract_y
_atom_site_fract_z
Ce1 Ce 0.000 0.000 0.000
Ce2 Ce 0.000 0.000 0.500
Ce3 Ce 0.000 0.500 0.000
Ce4 Ce 0.000 0.500 0.500
Ce5 Ce 0.125 0.750 0.875
Ce6 Ce 0.125 0.875 0.250
Ce7 Ce 0.250 0.125 0.875
Ce8 Ce 0.250 0.625 0.375
Ce9 Ce 0.375 0.250 0.625
Ce10 Ce 0.375 0.625 0.750
Ce11 Ce 0.500 0.000 0.000
Ce12 Ce 0.500 0.000 0.500
Ce13 Ce 0.500 0.500 0.000
Ce14 Ce 0.500 0.500 0.500
Ce15 Ce 0.625 0.375 0.250
Ce16 Ce 0.625 0.750 0.375
Ce17 Ce 0.750 0.375 0.625
Ce18 Ce 0.750 0.875 0.125
Ce19 Ce 0.875 0.125 0.750
Ce20 Ce 0.875 0.250 0.125
Th1 Th 0.125 0.250 0.375
Th2 Th 0.125 0.375 0.750
Th3 Th 0.250 0.375 0.125
Th4 Th 0.250 0.875 0.625
Th5 Th 0.375 0.125 0.250
Th6 Th 0.375 0.750 0.125
Th7 Th 0.625 0.250 0.875
Th8 Th 0.625 0.875 0.750
Th9 Th 0.750 0.125 0.375
Th10 Th 0.750 0.625 0.875
Th11 Th 0.875 0.625 0.250
Th12 Th 0.875 0.750 0.625
Te1 Te 0.057 0.229 0.133
Te2 Te 0.057 0.328 0.923
Te3 Te 0.077 0.633 0.404
Te4 Te 0.077 0.943 0.672
Te5 Te 0.096 0.729 0.672
Te6 Te 0.096 0.867 0.423
Te7 Te 0.133 0.057 0.229
Te8 Te 0.133 0.577 0.904
Te9 Te 0.172 0.229 0.596
Te10 Te 0.172 0.443 0.577
Te11 Te 0.229 0.133 0.057
Te12 Te 0.229 0.596 0.172
Te13 Te 0.271 0.328 0.904
Te14 Te 0.271 0.443 0.367
Te15 Te 0.328 0.904 0.271
Te16 Te 0.328 0.923 0.057
Te17 Te 0.367 0.271 0.443
Te18 Te 0.367 0.596 0.923
Te19 Te 0.404 0.077 0.633
Te20 Te 0.404 0.828 0.771
Te21 Te 0.423 0.096 0.867
Te22 Te 0.423 0.828 0.557
Te23 Te 0.443 0.367 0.271
Te24 Te 0.443 0.577 0.172
Te25 Te 0.557 0.423 0.828
Te26 Te 0.557 0.633 0.729
Te27 Te 0.577 0.172 0.443
Te28 Te 0.577 0.904 0.133
Te29 Te 0.596 0.172 0.229
Te30 Te 0.596 0.923 0.367
Te31 Te 0.633 0.404 0.077
Te32 Te 0.633 0.729 0.557
Te33 Te 0.672 0.077 0.943
Te34 Te 0.672 0.096 0.729
Te35 Te 0.729 0.557 0.633
Te36 Te 0.729 0.672 0.096
Te37 Te 0.771 0.404 0.828
Te38 Te 0.771 0.867 0.943
Te39 Te 0.828 0.557 0.423
Te40 Te 0.828 0.771 0.404
Te41 Te 0.867 0.423 0.096
Te42 Te 0.867 0.943 0.771
Te43 Te 0.904 0.133 0.577
Te44 Te 0.904 0.271 0.328
Te45 Te 0.923 0.057 0.328
Te46 Te 0.923 0.367 0.596
Te47 Te 0.943 0.672 0.077
Te48 Te 0.943 0.771 0.867